1.
{
  "formula": "LaFeW2",
  "functional": "GGA-PBE",
  "state": "relaxed",
  "spacegroup": "No. 225",
  "ef_kj_per_mol_atoms": 87.8,
  "dos_ef_per_ev_cell": 4.68,
  "final_energy_ev_per_cell": -35.7,
  "relative_energy_mev_per_atom": 409.2,
  "lattice": [[0.000, 3.230, 3.230], [3.230, 0.000, 3.230], [3.230, 3.230, 0.000]],
  "species": ["La", "Fe", "W", "W"],
  "fractional_positions": [[0.000, 0.000, 0.000], [0.500, 0.500, 0.500], [0.250, 0.250, 0.250], [0.750, 0.750, 0.750]]
}

=====

2.
{
  "formula": "TiNb4Mo",
  "functional": "GGA-PBE",
  "state": "relaxed",
  "spacegroup": "No. 123",
  "ef_kj_per_mol_atoms": 72.3,
  "dos_ef_per_ev_cell": 7.78,
  "final_energy_ev_per_cell": -54.5,
  "relative_energy_mev_per_atom": 773.2,
  "lattice": [[4.477, 0.000, 0.000], [0.000, 4.477, 0.000], [0.000, 0.000, 6.072]],
  "species": ["Ti", "Nb", "Nb", "Nb", "Nb", "Mo"],
  "fractional_positions": [[0.000, 0.000, 0.000], [0.000, 0.500, 0.249], [0.000, 0.500, 0.751], [0.500, 0.000, 0.249], [0.500, 0.000, 0.751], [0.500, 0.500, 0.500]]
}

=====

3.
{
  "formula": "CsHg2H3",
  "functional": "GGA-PBE",
  "state": "relaxed",
  "spacegroup": "No. 15",
  "final_energy_ev_per_cell": -21.9,
  "lattice": [[1.934, -6.582, 0.000], [1.934, 6.582, 0.000], [-1.180, 0.000, 10.675]],
  "species": ["Cs", "Cs", "Hg", "Hg", "Hg", "Hg", "H", "H", "H", "H", "H", "H"],
  "fractional_positions": [[0.167, 0.833, 0.750], [0.833, 0.167, 0.250], [0.285, 0.420, 0.575], [0.420, 0.285, 0.075], [0.580, 0.715, 0.925], [0.715, 0.580, 0.425], [0.085, 0.737, 0.406], [0.263, 0.915, 0.094], [0.478, 0.522, 0.750], [0.522, 0.478, 0.250], [0.737, 0.085, 0.906], [0.915, 0.263, 0.594]]
}

=====

4.
{
  "formula": "HoSc3",
  "functional": "GGA-PBE",
  "state": "relaxed",
  "spacegroup": "No. 44",
  "ef_kj_per_mol_atoms": 1.8,
  "dos_ef_per_ev_cell": 7.41,
  "final_energy_ev_per_cell": -23.5,
  "relative_energy_mev_per_atom": 0.0,
  "lattice": [[-1.696, 5.268, 2.925], [1.696, -5.268, 2.925], [1.696, 5.268, -2.925]],
  "species": ["Ho", "Sc", "Sc", "Sc"],
  "fractional_positions": [[0.000, 0.000, 0.000], [0.414, 0.660, 0.754], [0.496, 0.996, 0.500], [0.906, 0.660, 0.246]]
}

=====

5.
{
  "formula": "CdHgBiW2",
  "functional": "GGA-PBE",
  "state": "relaxed",
  "spacegroup": "No. 123",
  "ef_kj_per_mol_atoms": 235.6,
  "dos_ef_per_ev_cell": 5.54,
  "final_energy_ev_per_cell": -18.8,
  "lattice": [[5.150, 0.000, 0.000], [0.000, 5.150, 0.000], [0.000, 0.000, 5.426]],
  "species": ["Cd", "Hg", "Bi", "W", "W"],
  "fractional_positions": [[0.000, 0.000, 0.000], [0.500, 0.500, 0.500], [0.000, 0.000, 0.500], [0.000, 0.500, 0.000], [0.500, 0.000, 0.000]]
}

=====

6.
{
  "formula": "TbHo3Tl4Se8",
  "functional": "GGA-PBE",
  "state": "relaxed",
  "spacegroup": "No. 166",
  "e_form_raw_mev_per_atom": -1386,
  "final_energy_ev_per_cell": -77.9,
  "lattice": [[4.178, 2.412, 7.776], [-4.178, 2.412, 7.776], [0.000, -4.824, 7.776]],
  "species": ["Tb", "Ho", "Ho", "Ho", "Tl", "Tl", "Tl", "Tl", "Se", "Se", "Se", "Se", "Se", "Se", "Se", "Se"],
  "fractional_positions": [[0.000, 0.000, 0.000], [0.000, 0.500, 0.500], [0.500, 0.000, 0.500], [0.500, 0.500, 0.000], [0.000, 0.000, 0.500], [0.000, 0.500, 0.000], [0.500, 0.000, 0.000], [0.500, 0.500, 0.500], [0.236, 0.236, 0.733], [0.236, 0.733, 0.236], [0.266, 0.266, 0.266], [0.267, 0.764, 0.764], [0.733, 0.236, 0.236], [0.734, 0.734, 0.734], [0.764, 0.267, 0.764], [0.764, 0.764, 0.267]]
}

=====

Question: What is the formula in the fourth record?
Answer: HoSc3